Here is a geometry-optimized SrCaPt2 structure from Alexandria via LeMat-Bulk. Energies are from PBE.

a b c (Å): 3.637 3.637 7.024
angles (deg): 90.00 90.00 90.00
Sites, in units of the cell vectors:
Sr 0.000 0.000 0.000
Ca 0.000 0.000 0.500
Pt 0.500 0.500 0.277
Pt 0.500 0.500 0.723

Results
Space-group type ... P4/mmm (123)
E ... -18.924 eV/cell
Relative energy among the computed polymorphs ... 3.2 kJ per mole of atoms
DFT formation energy ... -0.790 eV/atom
Spin magnetization ... 0.000 μB/f.u.
Crystal system ... tetragonal